(1)
Computed, not measured: an optimized crystal structure of Li2UNb2S6 at the PBE level of DFT.

a b c (Å): 6.041 6.041 6.721
angles (deg): 98.27 98.27 118.46
Fractional coordinates of all 11 atoms:
Li (0.170, 0.830, 0.000)
Li (0.830, 0.170, 0.000)
U (0.000, 0.000, 0.500)
Nb (0.349, 0.651, 0.500)
Nb (0.651, 0.349, 0.500)
S (0.073, 0.420, 0.740)
S (0.260, 0.260, 0.247)
S (0.420, 0.073, 0.740)
S (0.580, 0.927, 0.260)
S (0.740, 0.740, 0.753)
S (0.927, 0.580, 0.260)

E_form (uncorrected) (eV per atom): -1.222
Space-group type: C2/m (12)


(2)
Computed, not measured: an optimized crystal structure of Li3U3NbS8 at the PBE level of DFT.

a b c (Å): 7.672 7.672 7.672
angles (deg): 57.79 57.79 57.79
Fractional coordinates of all 15 atoms:
Li (0.000, 0.500, 0.500)
Li (0.500, 0.000, 0.500)
Li (0.500, 0.500, 0.000)
U (0.000, 0.000, 0.500)
U (0.000, 0.500, 0.000)
U (0.500, 0.000, 0.000)
Nb (0.500, 0.500, 0.500)
S (0.255, 0.255, 0.255)
S (0.258, 0.258, 0.738)
S (0.258, 0.738, 0.258)
S (0.262, 0.742, 0.742)
S (0.738, 0.258, 0.258)
S (0.742, 0.262, 0.742)
S (0.742, 0.742, 0.262)
S (0.745, 0.745, 0.745)

E_form (uncorrected) (eV per atom): -1.306
Space-group type: R-3m (166)


(3)
Computed, not measured: an optimized crystal structure of LiNb2Sb at the PBE level of DFT.

a b c (Å): 10.688 10.688 10.688
angles (deg): 159.02 159.02 29.83
Fractional coordinates of all 8 atoms:
Li (0.000, 0.000, 0.000)
Li (0.750, 0.250, 0.500)
Nb (0.133, 0.625, 0.008)
Nb (0.375, 0.383, 0.508)
Nb (0.617, 0.125, 0.992)
Nb (0.875, 0.867, 0.492)
Sb (0.250, 0.750, 0.500)
Sb (0.500, 0.500, 0.000)

E_form (uncorrected) (eV per atom): 0.306
Space-group type: I-42d (122)


(4)
Computed, not measured: an optimized crystal structure of Li2NbSb at the PBE level of DFT.

a b c (Å): 5.944 5.944 5.944
angles (deg): 102.15 102.15 125.39
Fractional coordinates of all 8 atoms:
Li (0.109, 0.125, 0.484)
Li (0.375, 0.891, 0.016)
Li (0.641, 0.625, 0.516)
Li (0.875, 0.359, 0.984)
Nb (0.250, 0.750, 0.500)
Nb (0.500, 0.500, 0.000)
Sb (0.000, 0.000, 0.000)
Sb (0.750, 0.250, 0.500)

E_form (uncorrected) (eV per atom): 0.300
Space-group type: I-42d (122)


(5)
Computed, not measured: an optimized crystal structure of Li2Nb2Sb at the PBE level of DFT.

a b c (Å): 7.011 7.011 4.018
angles (deg): 90.00 90.00 90.00
Fractional coordinates of all 10 atoms:
Li (0.172, 0.328, 0.000)
Li (0.328, 0.828, 0.000)
Li (0.672, 0.172, 0.000)
Li (0.828, 0.672, 0.000)
Nb (0.124, 0.624, 0.500)
Nb (0.376, 0.124, 0.500)
Nb (0.624, 0.876, 0.500)
Nb (0.876, 0.376, 0.500)
Sb (0.000, 0.000, 0.500)
Sb (0.500, 0.500, 0.500)

E_form (uncorrected) (eV per atom): 0.379
Relative energy among the computed polymorphs (eV per atom): 0.000
Space-group type: P4/mbm (127)


(6)
Computed, not measured: an optimized crystal structure of LiNb3Sb at the PBE level of DFT.

a b c (Å): 4.482 4.482 4.482
angles (deg): 90.00 90.00 90.00
Fractional coordinates of all 5 atoms:
Li (0.000, 0.000, 0.000)
Nb (0.000, 0.000, 0.500)
Nb (0.000, 0.500, 0.000)
Nb (0.500, 0.000, 0.000)
Sb (0.500, 0.500, 0.500)

E_form (uncorrected) (eV per atom): 0.749
Relative energy among the computed polymorphs (eV per atom): 0.000
Space-group type: Pm-3m (221)


(7)
Computed, not measured: an optimized crystal structure of LiNb2Sb2 at the PBE level of DFT.

a b c (Å): 7.624 7.624 3.568
angles (deg): 90.00 90.00 90.00
Fractional coordinates of all 10 atoms:
Li (0.000, 0.000, 0.000)
Li (0.500, 0.500, 0.000)
Nb (0.138, 0.362, 0.500)
Nb (0.362, 0.862, 0.500)
Nb (0.638, 0.138, 0.500)
Nb (0.862, 0.638, 0.500)
Sb (0.154, 0.654, 0.000)
Sb (0.346, 0.154, 0.000)
Sb (0.654, 0.846, 0.000)
Sb (0.846, 0.346, 0.000)

E_form (uncorrected) (eV per atom): -0.137
Relative energy among the computed polymorphs (eV per atom): 0.000
Space-group type: P4/mbm (127)


(8)
Computed, not measured: an optimized crystal structure of LiNb2Sb2 at the PBE level of DFT.

a b c (Å): 7.293 7.293 7.293
angles (deg): 146.77 146.77 47.71
Fractional coordinates of all 5 atoms:
Li (0.000, 0.000, 0.000)
Nb (0.250, 0.750, 0.500)
Nb (0.750, 0.250, 0.500)
Sb (0.392, 0.392, 0.000)
Sb (0.608, 0.608, 0.000)

E_form (uncorrected) (eV per atom): -0.099
Relative energy among the computed polymorphs (eV per atom): 0.038
Space-group type: I4/mmm (139)


no.,electronic total energy (eV/atom)
1,-6.679
2,-6.819
3,-6.238
4,-4.205
5,-5.239
6,-6.500
7,-6.196
8,-6.159